This record from the Alexandria database describes MgMnHgF6 after structural relaxation. The functional is GGA+U.

Calculated values
- crystal system = trigonal
- energy (Ha/atom) = -0.177

a b c (Å): 5.4880 5.4880 9.7000
angles (deg): 90.00 90.00 120.00
With the nearest neighbours (Å) after each atom.
Space group P-31c (No. 163)
Unique sites:
Mg 0.3333 0.6667 0.2500 (multiplicity 2)  6 F 2.02
Mn 0.3333 0.6667 0.7500 (multiplicity 2)  6 F 2.14
Hg 0.0000 0.0000 0.0000 (multiplicity 2)  6 F 2.37
F 0.0167 0.3638 0.1381 (multiplicity 12)  1 Mg 2.02, 1 Mn 2.14